1.
# MnSeBr2 | the Alexandria database | GGA-PBE | optimized geometry
data_MnSeBr2
_chemical_formula_sum 'Mn4 Se4 Br8'
_symmetry_space_group_name_H-M 'F -4 3 m'
_symmetry_Int_Tables_number 216
_symmetry_space_group_name_Hall 'F -4 2 3'
_cell_length_a 7.121
_cell_length_b 7.121
_cell_length_c 7.121
_cell_angle_alpha 90.00
_cell_angle_beta 90.00
_cell_angle_gamma 90.00
loop_
_atom_site_label
_atom_site_type_symbol
_atom_site_fract_x
_atom_site_fract_y
_atom_site_fract_z
Mn1 Mn 0.000 0.000 0.000
Se1 Se 0.250 0.250 0.250
Br1 Br 0.000 0.000 0.500
Br2 Br 0.250 0.250 0.750
# M_tot (μB/f.u.): 3.30
# Energy above the most stable polymorph in this dataset (eV/atom): 0.7708
# Formation energy from raw total energies (eV per formula unit): 1.51
# Total DFT energy (no corrections) (eV per cell): -58.0

---

2.
# MnSeBr2 | the Alexandria database | GGA-PBE | optimized geometry
data_MnSeBr2
_chemical_formula_sum 'Mn2 Se2 Br4'
_symmetry_space_group_name_H-M 'C 1 2/m 1'
_symmetry_Int_Tables_number 12
_symmetry_space_group_name_Hall '-C 2y'
_cell_length_a 15.492
_cell_length_b 3.674
_cell_length_c 4.255
_cell_angle_alpha 90.00
_cell_angle_beta 91.63
_cell_angle_gamma 90.00
loop_
_atom_site_label
_atom_site_type_symbol
_atom_site_fract_x
_atom_site_fract_y
_atom_site_fract_z
Mn1 Mn 0.000 0.000 0.000
Se1 Se 0.000 0.500 0.500
Br1 Br 0.141 0.500 0.177
# M_tot (μB/f.u.): 4.99
# Energy above the most stable polymorph in this dataset (eV/atom): 0.1812
# Formation energy from raw total energies (eV per formula unit): -0.85
# Total DFT energy (no corrections) (eV per cell): -33.7

---

3.
# MnSeBr2 | the Alexandria database | GGA-PBE | optimized geometry
data_MnSeBr2
_chemical_formula_sum 'Mn2 Se2 Br4'
_symmetry_space_group_name_H-M 'C m m m'
_symmetry_Int_Tables_number 65
_symmetry_space_group_name_Hall '-C 2 2'
_cell_length_a 3.870
_cell_length_b 5.499
_cell_length_c 11.031
_cell_angle_alpha 90.00
_cell_angle_beta 90.00
_cell_angle_gamma 90.00
loop_
_atom_site_label
_atom_site_type_symbol
_atom_site_fract_x
_atom_site_fract_y
_atom_site_fract_z
Mn1 Mn 0.000 0.000 0.000
Se1 Se 0.000 0.000 0.500
Br1 Br 0.000 0.500 0.157
# M_tot (μB/f.u.): 4.39
# Energy above the most stable polymorph in this dataset (eV/atom): 0.4215
# Formation energy from raw total energies (eV per formula unit): 0.11
# Total DFT energy (no corrections) (eV per cell): -31.8

---

4.
# Mn2SeBr | the Alexandria database | GGA-PBE | optimized geometry
data_Mn2SeBr
_chemical_formula_sum 'Mn4 Se2 Br2'
_symmetry_space_group_name_H-M 'C 1 2/m 1'
_symmetry_Int_Tables_number 12
_symmetry_space_group_name_Hall '-C 2y'
_cell_length_a 7.478
_cell_length_b 7.401
_cell_length_c 3.825
_cell_angle_alpha 90.00
_cell_angle_beta 120.64
_cell_angle_gamma 90.00
loop_
_atom_site_label
_atom_site_type_symbol
_atom_site_fract_x
_atom_site_fract_y
_atom_site_fract_z
Mn1 Mn 0.250 0.250 0.000
Se1 Se 0.000 0.000 0.000
Br1 Br 0.000 0.500 0.000
# M_tot (μB/f.u.): 9.11
# Energy above the most stable polymorph in this dataset (eV/atom): 0.2795
# Formation energy from raw total energies (eV per formula unit): 0.32
# Total DFT energy (no corrections) (eV per cell): -46.3

---

5.
# Mn2SeBr | the Alexandria database | GGA-PBE | optimized geometry
data_Mn2SeBr
_chemical_formula_sum 'Mn2 Se1 Br1'
_symmetry_space_group_name_H-M 'P 4/m m m'
_symmetry_Int_Tables_number 123
_symmetry_space_group_name_Hall '-P 4 2'
_cell_length_a 3.411
_cell_length_b 3.411
_cell_length_c 6.900
_cell_angle_alpha 90.00
_cell_angle_beta 90.00
_cell_angle_gamma 90.00
loop_
_atom_site_label
_atom_site_type_symbol
_atom_site_fract_x
_atom_site_fract_y
_atom_site_fract_z
Mn1 Mn 0.000 0.000 0.198
Se1 Se 0.500 0.500 0.000
Br1 Br 0.500 0.500 0.500
# M_tot (μB/f.u.): 8.65
# Energy above the most stable polymorph in this dataset (eV/atom): 0.2742
# Formation energy from raw total energies (eV per formula unit): 0.30
# Total DFT energy (no corrections) (eV per cell): -23.2

---

6.
# MnSeBr2 | the Alexandria database | GGA-PBE | optimized geometry
data_MnSeBr2
_chemical_formula_sum 'Mn2 Se2 Br4'
_symmetry_space_group_name_H-M 'C m m 2'
_symmetry_Int_Tables_number 35
_symmetry_space_group_name_Hall 'C 2 -2'
_cell_length_a 3.345
_cell_length_b 7.626
_cell_length_c 9.648
_cell_angle_alpha 90.00
_cell_angle_beta 90.00
_cell_angle_gamma 90.00
loop_
_atom_site_label
_atom_site_type_symbol
_atom_site_fract_x
_atom_site_fract_y
_atom_site_fract_z
Mn1 Mn 0.000 0.000 0.000
Se1 Se 0.000 0.500 0.825
Br1 Br 0.000 0.000 0.553
Br2 Br 0.000 0.500 0.189
# M_tot (μB/f.u.): 3.66
# Energy above the most stable polymorph in this dataset (eV/atom): 0.2607
# Formation energy from raw total energies (eV per formula unit): -0.53
# Total DFT energy (no corrections) (eV per cell): -33.1